# 1
First-principles (PBE) data for a geometry-optimized ZrAsCSe2 structure, as listed in Alexandria via LeMat-Bulk.

The space group is P4/mmm (No. 123) and the conventional cell measures 4.409, 4.409 and 4.390 Å, with angles of 90.00, 90.00 and 90.00 degrees. The asymmetric unit holds Zr at (0.000, 0.000, 0.000), As at (0.500, 0.500, 0.000), C at (0.500, 0.500, 0.500) and Se at (0.000, 0.500, 0.500).

The uncorrected formation energy comes out at 567 meV per atom. As for the energy above the most stable polymorph in this dataset: 0.00 eV per formula unit.


# 2
First-principles (PBE) data for a geometry-optimized ZrAs2CSe structure, as listed in Alexandria via LeMat-Bulk.

The space group is P4/mmm (No. 123) and the conventional cell measures 4.388, 4.388 and 4.391 Å, with angles of 90.00, 90.00 and 90.00 degrees. The asymmetric unit holds Zr at (0.000, 0.000, 0.000), As at (0.000, 0.500, 0.500), C at (0.500, 0.500, 0.500) and Se at (0.500, 0.500, 0.000).

The uncorrected formation energy comes out at 592 meV per atom. As for the energy above the most stable polymorph in this dataset: 0.00 eV per formula unit.


# 3
First-principles (PBE) data for a geometry-optimized ZrAs2CSe structure, as listed in Alexandria via LeMat-Bulk.

The space group is P4/mmm (No. 123) and the conventional cell measures 5.231, 5.231 and 5.131 Å, with angles of 90.00, 90.00 and 90.00 degrees. The asymmetric unit holds Zr at (0.000, 0.000, 0.000), As at (0.000, 0.500, 0.000), C at (0.500, 0.500, 0.500) and Se at (0.000, 0.000, 0.500).

The uncorrected formation energy comes out at 1446 meV per atom. As for the energy above the most stable polymorph in this dataset: 4.27 eV per formula unit.


# 4
First-principles (PBE) data for a geometry-optimized SiAs3C structure, as listed in Alexandria via LeMat-Bulk.

The space group is Pm-3m (No. 221) and the conventional cell measures 4.709, 4.709 and 4.709 Å, with angles of 90.00, 90.00 and 90.00 degrees. The asymmetric unit holds Si at (0.000, 0.000, 0.000), As at (0.000, 0.000, 0.500) and C at (0.500, 0.500, 0.500).

The uncorrected formation energy comes out at 1918 meV per atom. As for the energy above the most stable polymorph in this dataset: 3.79 eV per formula unit.


# 5
First-principles (PBE) data for a geometry-optimized SiAsC3 structure, as listed in Alexandria via LeMat-Bulk.

The space group is Pm-3m (No. 221) and the conventional cell measures 3.917, 3.917 and 3.917 Å, with angles of 90.00, 90.00 and 90.00 degrees. The asymmetric unit holds Si at (0.000, 0.000, 0.000), As at (0.500, 0.500, 0.500) and C at (0.000, 0.500, 0.500).

The uncorrected formation energy comes out at 2710 meV per atom. As for the energy above the most stable polymorph in this dataset: 3.19 eV per formula unit.


# 6
First-principles (PBE) data for a geometry-optimized SiAs3C structure, as listed in Alexandria via LeMat-Bulk.

The space group is Pm-3m (No. 221) and the conventional cell measures 4.361, 4.361 and 4.361 Å, with angles of 90.00, 90.00 and 90.00 degrees. The asymmetric unit holds Si at (0.000, 0.000, 0.000), As at (0.000, 0.500, 0.500) and C at (0.500, 0.500, 0.500).

The uncorrected formation energy comes out at 1161 meV per atom. As for the energy above the most stable polymorph in this dataset: 0.00 eV per formula unit.


# 7
First-principles (PBE) data for a geometry-optimized SiAsC3 structure, as listed in Alexandria via LeMat-Bulk.

The space group is Pm-3m (No. 221) and the conventional cell measures 3.814, 3.814 and 3.814 Å, with angles of 90.00, 90.00 and 90.00 degrees. The asymmetric unit holds Si at (0.000, 0.000, 0.000), As at (0.500, 0.500, 0.500) and C at (0.000, 0.000, 0.500).

The uncorrected formation energy comes out at 2072 meV per atom. As for the energy above the most stable polymorph in this dataset: 0.00 eV per formula unit.


# 8
First-principles (PBE) data for a geometry-optimized Si2AsC structure, as listed in Alexandria via LeMat-Bulk.

The space group is Fm-3m (No. 225) and the conventional cell measures 6.015, 6.015 and 6.015 Å, with angles of 90.00, 90.00 and 90.00 degrees. The asymmetric unit holds Si at (0.250, 0.250, 0.250), As at (0.000, 0.000, 0.000) and C at (0.000, 0.000, 0.500).

The uncorrected formation energy comes out at 1503 meV per atom. As for the energy above the most stable polymorph in this dataset: 4.98 eV per formula unit.


# 9
First-principles (PBE) data for a geometry-optimized Si2AsC structure, as listed in Alexandria via LeMat-Bulk.

The space group is I-42d (No. 122) and the conventional cell measures 5.229, 5.229 and 8.720 Å, with angles of 90.00, 90.00 and 90.00 degrees. The asymmetric unit holds Si at (0.170, 0.250, 0.125), As at (0.000, 0.000, 0.500) and C at (0.000, 0.000, 0.000).

The uncorrected formation energy comes out at 256 meV per atom. As for the energy above the most stable polymorph in this dataset: 0.00 eV per formula unit.


# 10
First-principles (PBE) data for a geometry-optimized TaSiAs2C structure, as listed in Alexandria via LeMat-Bulk.

The space group is P4/mmm (No. 123) and the conventional cell measures 4.892, 4.892 and 3.450 Å, with angles of 90.00, 90.00 and 90.00 degrees. The asymmetric unit holds Ta at (0.000, 0.000, 0.000), Si at (0.500, 0.500, 0.500), As at (0.000, 0.500, 0.500) and C at (0.500, 0.500, 0.000).

The uncorrected formation energy comes out at 1086 meV per atom.


# 11
First-principles (PBE) data for a geometry-optimized SiTcAs2C structure, as listed in Alexandria via LeMat-Bulk.

The space group is P4/mmm (No. 123) and the conventional cell measures 4.651, 4.651 and 4.515 Å, with angles of 90.00, 90.00 and 90.00 degrees. The asymmetric unit holds Si at (0.000, 0.000, 0.000), Tc at (0.000, 0.000, 0.500), As at (0.000, 0.500, 0.000) and C at (0.500, 0.500, 0.500).

The uncorrected formation energy comes out at 2185 meV per atom.


# 12
First-principles (PBE) data for a geometry-optimized SnAsC2 structure, as listed in Alexandria via LeMat-Bulk.

The space group is Fm-3m (No. 225) and the conventional cell measures 5.986, 5.986 and 5.986 Å, with angles of 90.00, 90.00 and 90.00 degrees. The asymmetric unit holds Sn at (0.000, 0.000, 0.000), As at (0.000, 0.000, 0.500) and C at (0.250, 0.250, 0.250).

The formation energy is 2.20 eV/atom. As for the energy above the most stable polymorph in this dataset: 4.16 eV per formula unit.


# 13
First-principles (PBE) data for a geometry-optimized SnAs3C structure, as listed in Alexandria via LeMat-Bulk.

The space group is Pm-3m (No. 221) and the conventional cell measures 5.268, 5.268 and 5.268 Å, with angles of 90.00, 90.00 and 90.00 degrees. The asymmetric unit holds Sn at (0.000, 0.000, 0.000), As at (0.000, 0.000, 0.500) and C at (0.500, 0.500, 0.500).

The formation energy is 2.28 eV/atom. As for the energy above the most stable polymorph in this dataset: 6.70 eV per formula unit.


# 14
First-principles (PBE) data for a geometry-optimized SnAsC2 structure, as listed in Alexandria via LeMat-Bulk.

The space group is I-42d (No. 122) and the conventional cell measures 4.964, 4.964 and 9.791 Å, with angles of 90.00, 90.00 and 90.00 degrees. The asymmetric unit holds Sn at (0.000, 0.000, 0.000), As at (0.000, 0.000, 0.500) and C at (0.219, 0.250, 0.625).

The formation energy is 1.16 eV/atom. As for the energy above the most stable polymorph in this dataset: 0.00 eV per formula unit.


# 15
First-principles (PBE) data for a geometry-optimized SnAs3C structure, as listed in Alexandria via LeMat-Bulk.

The space group is Pm-3m (No. 221) and the conventional cell measures 4.498, 4.498 and 4.498 Å, with angles of 90.00, 90.00 and 90.00 degrees. The asymmetric unit holds Sn at (0.000, 0.000, 0.000), As at (0.000, 0.500, 0.500) and C at (0.500, 0.500, 0.500).

The formation energy is 0.94 eV/atom. As for the energy above the most stable polymorph in this dataset: 0.00 eV per formula unit.


# 16
First-principles (PBE) data for a geometry-optimized Sn2AsC structure, as listed in Alexandria via LeMat-Bulk.

The space group is I-42d (No. 122) and the conventional cell measures 5.908, 5.908 and 10.579 Å, with angles of 90.00, 90.00 and 90.00 degrees. The asymmetric unit holds Sn at (0.181, 0.250, 0.125), As at (0.000, 0.000, 0.500) and C at (0.000, 0.000, 0.000).

The formation energy is 0.60 eV/atom. As for the energy above the most stable polymorph in this dataset: 0.00 eV per formula unit.


# 17
First-principles (PBE) data for a geometry-optimized Sn2AsC structure, as listed in Alexandria via LeMat-Bulk.

The space group is Fm-3m (No. 225) and the conventional cell measures 6.805, 6.805 and 6.805 Å, with angles of 90.00, 90.00 and 90.00 degrees. The asymmetric unit holds Sn at (0.250, 0.250, 0.250), As at (0.000, 0.000, 0.000) and C at (0.000, 0.000, 0.500).

The formation energy is 1.30 eV/atom. As for the energy above the most stable polymorph in this dataset: 2.78 eV per formula unit.


# 18
First-principles (PBE) data for a geometry-optimized TaSnAsC2 structure, as listed in Alexandria via LeMat-Bulk.

The space group is P4/mmm (No. 123) and the conventional cell measures 3.996, 3.996 and 5.364 Å, with angles of 90.00, 90.00 and 90.00 degrees. The asymmetric unit holds Ta at (0.000, 0.000, 0.000), Sn at (0.500, 0.500, 0.000), As at (0.500, 0.500, 0.500) and C at (0.000, 0.500, 0.500).

The formation energy is 2.34 eV/atom.


# 19
First-principles (PBE) data for a geometry-optimized SnTe2AsC structure, as listed in Alexandria via LeMat-Bulk.

The space group is P4/mmm (No. 123) and the conventional cell measures 5.716, 5.716 and 3.835 Å, with angles of 90.00, 90.00 and 90.00 degrees. The asymmetric unit holds Sn at (0.000, 0.000, 0.000), Te at (0.000, 0.500, 0.500), As at (0.500, 0.500, 0.500) and C at (0.500, 0.500, 0.000).

The uncorrected formation energy comes out at 980 meV per atom.


# 20
First-principles (PBE) data for a geometry-optimized VSnAs2C structure, as listed in Alexandria via LeMat-Bulk.

The space group is P4/mmm (No. 123) and the conventional cell measures 4.656, 4.656 and 3.975 Å, with angles of 90.00, 90.00 and 90.00 degrees. The asymmetric unit holds V at (0.000, 0.000, 0.000), Sn at (0.500, 0.500, 0.000), As at (0.000, 0.500, 0.500) and C at (0.000, 0.000, 0.500).

The formation energy is 0.75 eV/atom.


# 21
First-principles (PBE) data for a geometry-optimized SrAsC3 structure, as listed in Alexandria via LeMat-Bulk.

The space group is Pm-3m (No. 221) and the conventional cell measures 4.641, 4.641 and 4.641 Å, with angles of 90.00, 90.00 and 90.00 degrees. The asymmetric unit holds Sr at (0.000, 0.000, 0.000), As at (0.500, 0.500, 0.500) and C at (0.000, 0.000, 0.500).

The formation energy is 3.63 eV/atom. As for the energy above the most stable polymorph in this dataset: 8.80 eV per formula unit.


# 22
First-principles (PBE) data for a geometry-optimized Sr2AsC structure, as listed in Alexandria via LeMat-Bulk.

The space group is I-42d (No. 122) and the conventional cell measures 7.730, 7.730 and 7.300 Å, with angles of 90.00, 90.00 and 90.00 degrees. The asymmetric unit holds Sr at (0.203, 0.250, 0.125), As at (0.000, 0.000, 0.500) and C at (0.000, 0.000, 0.000).

The formation energy is 0.39 eV/atom. As for the energy above the most stable polymorph in this dataset: 0.16 eV per formula unit.


# 23
First-principles (PBE) data for a geometry-optimized SrAs3C structure, as listed in Alexandria via LeMat-Bulk.

The space group is Pm-3m (No. 221) and the conventional cell measures 4.621, 4.621 and 4.621 Å, with angles of 90.00, 90.00 and 90.00 degrees. The asymmetric unit holds Sr at (0.000, 0.000, 0.000), As at (0.000, 0.500, 0.500) and C at (0.500, 0.500, 0.500).

The formation energy is 0.53 eV/atom. As for the energy above the most stable polymorph in this dataset: 0.00 eV per formula unit.


# 24
First-principles (PBE) data for a geometry-optimized Sr2AsC structure, as listed in Alexandria via LeMat-Bulk.

The space group is Fm-3m (No. 225) and the conventional cell measures 7.392, 7.392 and 7.392 Å, with angles of 90.00, 90.00 and 90.00 degrees. The asymmetric unit holds Sr at (0.250, 0.250, 0.250), As at (0.000, 0.000, 0.000) and C at (0.000, 0.000, 0.500).

The formation energy is 0.36 eV/atom. As for the energy above the most stable polymorph in this dataset: 0.00 eV per formula unit.


# 25
First-principles (PBE) data for a geometry-optimized SrAsC3 structure, as listed in Alexandria via LeMat-Bulk.

The space group is Pm-3m (No. 221) and the conventional cell measures 4.094, 4.094 and 4.094 Å, with angles of 90.00, 90.00 and 90.00 degrees. The asymmetric unit holds Sr at (0.000, 0.000, 0.000), As at (0.500, 0.500, 0.500) and C at (0.000, 0.500, 0.500).

The formation energy is 1.87 eV/atom. As for the energy above the most stable polymorph in this dataset: 0.00 eV per formula unit.


# 26
First-principles (PBE) data for a geometry-optimized SrAsC structure, as listed in Alexandria via LeMat-Bulk.

The space group is C2/m (No. 12) and the conventional cell measures 8.464, 4.175 and 8.405 Å, with angles of 90.00, 111.70 and 90.00 degrees. The asymmetric unit holds Sr at (0.073, 0.000, 0.291), As at (0.160, 0.500, 0.027) and C at (0.081, 0.500, 0.529).

The formation energy is -0.33 eV/atom.


# 27
First-principles (PBE) data for a geometry-optimized SrAs3C structure, as listed in Alexandria via LeMat-Bulk.

The space group is Pm-3m (No. 221) and the conventional cell measures 5.624, 5.624 and 5.624 Å, with angles of 90.00, 90.00 and 90.00 degrees. The asymmetric unit holds Sr at (0.000, 0.000, 0.000), As at (0.000, 0.000, 0.500) and C at (0.500, 0.500, 0.500).

The formation energy is 2.47 eV/atom. As for the energy above the most stable polymorph in this dataset: 9.69 eV per formula unit.


# 28
First-principles (PBE) data for a geometry-optimized SrTeAs2C structure, as listed in Alexandria via LeMat-Bulk.

The space group is P4/mmm (No. 123) and the conventional cell measures 5.324, 5.324 and 6.237 Å, with angles of 90.00, 90.00 and 90.00 degrees. The asymmetric unit holds Sr at (0.000, 0.000, 0.000), Te at (0.000, 0.000, 0.500), As at (0.000, 0.500, 0.500) and C at (0.500, 0.500, 0.000).

The uncorrected formation energy comes out at 1527 meV per atom.


no.,calculated volume (Å³ per cell),total magnetic moment (μB per atom),electronic total energy (eV/atom)
1,85,0.00,-5.312
2,85,0.00,-5.520
3,140,0.27,-4.666
4,104,0.14,-3.801
5,60,0.00,-4.839
6,83,0.00,-4.559
7,55,0.00,-5.477
8,218,0.00,-4.677
9,238,0.00,-5.923
10,83,0.00,-6.074
11,98,0.19,-4.677
12,214,0.00,-4.574
13,146,0.07,-3.154
14,241,0.00,-5.615
15,91,0.00,-4.494
16,369,0.00,-4.867
17,315,0.00,-4.172
18,86,0.04,-5.454
19,125,0.00,-3.851
20,86,0.00,-5.577
21,100,0.28,-3.173
22,436,0.36,-3.914
23,99,0.00,-4.437
24,404,0.73,-3.954
25,69,0.00,-4.933
26,276,0.00,-5.514
27,178,0.00,-2.500
28,177,0.40,-3.142